Below is a geometry-optimized ScSi3Ni3 structure, with properties calculated at the PBE-GGA level.

a b c (Å): 5.597 5.597 10.237
angles (deg): 108.77 108.77 39.68
Fractional positions:
Sc1 0.221 0.221 0.373
Sc2 0.779 0.779 0.627
Si1 0.262 0.262 0.818
Si2 0.374 0.374 0.081
Si3 0.471 0.471 0.615
Si4 0.529 0.529 0.385
Si5 0.626 0.626 0.919
Si6 0.738 0.738 0.182
Ni1 0.033 0.033 0.803
Ni2 0.098 0.098 0.596
Ni3 0.135 0.135 0.066
Ni4 0.865 0.865 0.934
Ni5 0.902 0.902 0.404
Ni6 0.967 0.967 0.197

## Properties
- E (eV per atom) = -6.117
- E above lowest polymorph (meV per atom) = 0
- total moment (μB/f.u.) = 0.0
- formation energy without anion corrections (kJ/mol of formula units) = -277
- D(E_F) (states/eV per atom) = 0.43